Entry from Alexandria: a relaxed PWSe2 crystal (PBE).

The space group is Imm2 (No. 44) and the conventional cell measures 3.153, 4.474 and 12.952 Å, with angles of 90.00, 90.00 and 90.00 degrees. The asymmetric unit holds P at (0.000, 0.000, 0.000), W at (0.000, 0.500, 0.650), Se at (0.000, 0.000, 0.300) and Se at (0.000, 0.500, 0.096).

As for the formation energy without anion corrections: 1.1 eV per formula unit.